Entry from Alexandria via LeMat-Bulk: crystalline GeRuSI at its relaxed geometry (PBE-GGA).

Lattice parameters (Å, degrees): 3.5998 4.6075 7.4679 106.93 90.87 112.71
Last column: nearest neighbours and their distance in Å.
Fractional coordinates of all 4 atoms:
Ge1 0.0000 0.0000 0.0000  1 S 2.32, 3 Ru 2.47-2.54
Ru1 0.7001 0.4083 0.9803  2 S 2.41, 3 Ge 2.47-2.54
S1 0.2722 0.5388 0.2076  1 Ge 2.32, 2 Ru 2.41
I1 0.1220 0.2690 0.6795  2 Ru 2.79, 1 Ge 2.97

Results
Raw formation energy (eV per atom): -0.07
Energy relative to the lowest polymorph listed for this composition (meV/atom): 0
DOS at the Fermi energy (states/eV/cell): 2.487

=====

Entry from Alexandria via LeMat-Bulk: crystalline GeSb2RuI at its relaxed geometry (PBE-GGA).

Lattice parameters (Å, degrees): 5.0382 5.0382 5.6993 90.00 90.00 90.00
Last column: nearest neighbours and their distance in Å.
Fractional coordinates of all 5 atoms:
Ge1 0.0000 0.0000 0.0000  4 I 3.56, 8 Sb 3.80
Sb1 0.0000 0.5000 0.5000  2 Ru 2.52
Sb2 0.5000 0.0000 0.5000  2 Ru 2.52
Ru1 0.5000 0.5000 0.5000  4 Sb 2.52
I1 0.5000 0.5000 0.0000  2 Ru 2.85

Results
Raw formation energy (eV per atom): 0.60
Energy relative to the lowest polymorph listed for this composition (meV/atom): 0
DOS at the Fermi energy (states/eV/cell): 5.343

=====

Entry from Alexandria via LeMat-Bulk: crystalline GeSb2RuI at its relaxed geometry (PBE-GGA).

Lattice parameters (Å, degrees): 5.3259 5.3259 5.4705 90.00 90.00 90.00
Last column: nearest neighbours and their distance in Å.
Fractional coordinates of all 5 atoms:
Ge1 0.0000 0.0000 0.0000  4 Sb 2.66, 2 I 2.74
Sb1 0.0000 0.5000 0.0000  2 Ge 2.66
Sb2 0.5000 0.0000 0.0000  2 Ge 2.66
Ru1 0.5000 0.5000 0.5000  4 I 3.77, 8 Sb 3.82
I1 0.0000 0.0000 0.5000  2 Ge 2.74

Results
Raw formation energy (eV per atom): 1.32
Energy relative to the lowest polymorph listed for this composition (meV/atom): 719
DOS at the Fermi energy (states/eV/cell): 4.092

=====

Entry from Alexandria via LeMat-Bulk: crystalline Sm6GeRu2I3 at its relaxed geometry (PBE-GGA).

Lattice parameters (Å, degrees): 7.2872 7.2872 8.3195 98.46 98.46 120.03
Last column: nearest neighbours and their distance in Å.
Fractional coordinates of all 12 atoms:
Sm1 0.0866 0.4384 0.8128  2 Ru 2.79-2.80, 1 Ge 2.96
Sm2 0.2109 0.2109 0.1863  2 Ru 2.79, 1 Ge 2.96
Sm3 0.4384 0.0866 0.8128  2 Ru 2.79-2.80, 1 Ge 2.96
Sm4 0.5616 0.9134 0.1872  2 Ru 2.79-2.80, 1 Ge 2.96
Sm5 0.7891 0.7891 0.8137  2 Ru 2.79, 1 Ge 2.96
Sm6 0.9134 0.5616 0.1872  2 Ru 2.79-2.80, 1 Ge 2.96
Ge1 0.5000 0.5000 0.0000  6 Sm 2.96
Ru1 0.1669 0.8331 0.0000  6 Sm 2.79-2.80
Ru2 0.8331 0.1669 0.0000  6 Sm 2.79-2.80
I1 0.0000 0.0000 0.5000  6 Sm 3.40-3.53
I2 0.3367 0.6633 0.5000  6 Sm 3.41-3.53
I3 0.6633 0.3367 0.5000  6 Sm 3.41-3.53

Results
Raw formation energy (eV per atom): -0.75
DOS at the Fermi energy (states/eV/cell): 8.167

=====

Entry from Alexandria via LeMat-Bulk: crystalline Zn2GeRuI at its relaxed geometry (PBE-GGA).

Lattice parameters (Å, degrees): 4.8179 4.8179 4.9066 90.00 90.00 90.00
Last column: nearest neighbours and their distance in Å.
Fractional coordinates of all 5 atoms:
Zn1 0.0000 0.5000 0.0000  2 Ge 2.41
Zn2 0.5000 0.0000 0.0000  2 Ge 2.41
Ge1 0.0000 0.0000 0.0000  4 Zn 2.41, 2 Ru 2.45
Ru1 0.0000 0.0000 0.5000  2 Ge 2.45
I1 0.5000 0.5000 0.5000  4 Ru 3.41, 8 Zn 3.44

Results
Raw formation energy (eV per atom): 0.65
DOS at the Fermi energy (states/eV/cell): 4.184

=====

Entry from Alexandria via LeMat-Bulk: crystalline GeS6I2 at its relaxed geometry (PBE-GGA).

Lattice parameters (Å, degrees): 4.3741 8.3244 8.3574 113.92 91.06 90.97
Last column: nearest neighbours and their distance in Å.
Fractional coordinates of all 9 atoms:
Ge1 0.0000 0.0000 0.0000  2 S 2.83, 4 I 3.01
S1 0.0873 0.4886 0.7244  2 S 2.07-2.09
S2 0.0865 0.7259 0.4898  2 S 2.07-2.09
S3 0.1401 0.3059 0.3061  2 S 2.09
S4 0.8599 0.6941 0.6939  2 S 2.09
S5 0.9135 0.2741 0.5102  2 S 2.07-2.09
S6 0.9127 0.5114 0.2756  2 S 2.07-2.09
I1 0.4996 0.1487 0.8537  2 Ge 3.01
I2 0.5004 0.8513 0.1463  2 Ge 3.01

Results
Raw formation energy (eV per atom): -0.03
DOS at the Fermi energy (states/eV/cell): 0.000

=====

Entry from Alexandria via LeMat-Bulk: crystalline Ge2SI at its relaxed geometry (PBE-GGA).

Lattice parameters (Å, degrees): 5.0474 5.0474 5.0474 60.00 60.00 60.00
Last column: nearest neighbours and their distance in Å.
Fractional coordinates of all 4 atoms:
Ge1 0.2500 0.2500 0.2500  4 S 3.09, 4 I 3.09
Ge2 0.7500 0.7500 0.7500  4 S 3.09, 4 I 3.09
S1 0.0000 0.0000 0.0000  8 Ge 3.09
I1 0.5000 0.5000 0.5000  8 Ge 3.09

Results
Raw formation energy (eV per atom): 0.33
Energy relative to the lowest polymorph listed for this composition (meV/atom): 139
DOS at the Fermi energy (states/eV/cell): 1.059

=====

Entry from Alexandria via LeMat-Bulk: crystalline Ge2SI at its relaxed geometry (PBE-GGA).

Lattice parameters (Å, degrees): 8.8750 8.8750 8.8750 143.68 143.68 52.31
Last column: nearest neighbours and their distance in Å.
Fractional coordinates of all 8 atoms:
Ge1 0.0207 0.6250 0.8957  2 S 2.56
Ge2 0.3750 0.2707 0.3957  2 S 2.56
Ge3 0.7293 0.1250 0.1043  2 S 2.56
Ge4 0.8750 0.9793 0.6043  2 S 2.56
S1 0.0000 0.0000 0.0000  4 Ge 2.56
S2 0.7500 0.2500 0.5000  4 Ge 2.56
I1 0.2500 0.7500 0.5000  4 Ge 3.12
I2 0.5000 0.5000 0.0000  4 Ge 3.12

Results
Raw formation energy (eV per atom): 0.19
Energy relative to the lowest polymorph listed for this composition (meV/atom): 0
DOS at the Fermi energy (states/eV/cell): 7.069

=====

Entry from Alexandria via LeMat-Bulk: crystalline Ge3S2I2 at its relaxed geometry (PBE-GGA).

Lattice parameters (Å, degrees): 7.8225 7.8225 7.2948 105.37 105.37 30.01
Last column: nearest neighbours and their distance in Å.
Fractional coordinates of all 7 atoms:
Ge1 0.0000 0.0000 0.0000  2 S 2.73, 4 I 3.01
Ge2 0.2569 0.2569 0.2032  3 S 2.43-2.58
Ge3 0.7431 0.7431 0.7968  3 S 2.43-2.58
S1 0.1562 0.1562 0.8806  3 Ge 2.43-2.58
S2 0.8438 0.8438 0.1194  3 Ge 2.43-2.58
I1 0.4058 0.4058 0.7046  2 Ge 3.01
I2 0.5942 0.5942 0.2954  2 Ge 3.01

Results
Raw formation energy (eV per atom): -0.25
Energy relative to the lowest polymorph listed for this composition (meV/atom): 0

=====

Entry from Alexandria via LeMat-Bulk: crystalline GeS2I2 at its relaxed geometry (PBE-GGA).

Lattice parameters (Å, degrees): 8.1015 8.1015 4.9252 90.00 90.00 90.00
Last column: nearest neighbours and their distance in Å.
Fractional coordinates of all 10 atoms:
Ge1 0.0000 0.0000 0.0000  4 I 2.98
Ge2 0.5000 0.5000 0.0000  4 I 2.98
S1 0.2480 0.2520 0.5000  2 I 2.60
S2 0.2520 0.7520 0.5000  2 I 2.60
S3 0.7480 0.2480 0.5000  2 I 2.60
S4 0.7520 0.7480 0.5000  2 I 2.60
I1 0.1787 0.6787 0.0000  2 S 2.60
I2 0.3213 0.1787 0.0000  2 S 2.60
I3 0.6787 0.8213 0.0000  2 S 2.60
I4 0.8213 0.3213 0.0000  2 S 2.60

Results
Raw formation energy (eV per atom): 0.55
Energy relative to the lowest polymorph listed for this composition (meV/atom): 264
DOS at the Fermi energy (states/eV/cell): 0.000

=====

Number 1: calculated volume 108.17 Å³/f.u.. Number 2: calculated volume 144.66 Å³/f.u.. Number 3: calculated volume 155.17 Å³/f.u.. Number 4: calculated volume 365.55 Å³/f.u.. Number 5: calculated volume 113.89 Å³/f.u.. Number 6: calculated volume 278.03 Å³/f.u.. Number 7: calculated volume 90.93 Å³/f.u.. Number 8: calculated volume 121.91 Å³/f.u.. Number 9: calculated volume 214.69 Å³/f.u.. Number 10: calculated volume 161.63 Å³/f.u..